Entry 1:
Entry from Alexandria: AlZnBr2 after structural relaxation (GGA-PBE).

Cell: 9.5854 9.5854 9.5854 Å, 22.13 22.13 22.13°
Atoms (fractional coordinates):
Zn 0.5000 0.5000 0.5000
Al 0.0000 0.0000 0.0000
Br 0.8897 0.8897 0.8897
Br 0.1103 0.1103 0.1103

Results
The magnetic moment comes out at 0.0 μB per formula unit. For the polymorph energy (0 for the lowest one), the calculation gives 292 meV per atom. As for the uncorrected formation energy: -16.2 kJ/mol of atoms.

Entry 2:
Entry from Alexandria: AlZnBr2 after structural relaxation (GGA-PBE).

Cell: 4.2310 7.5095 6.1986 Å, 34.39 90.00 90.00°
Atoms (fractional coordinates):
Zn 0.5000 0.5000 0.5000
Al 0.0000 0.0000 0.5000
Br 0.0000 0.0000 0.0000
Br 0.5000 0.5000 0.0000

Results
The magnetic moment comes out at 0.0 μB per formula unit. For the polymorph energy (0 for the lowest one), the calculation gives 356 meV per atom. As for the uncorrected formation energy: -10.1 kJ/mol of atoms.

Entry 3:
Entry from Alexandria: AlZnBr2 after structural relaxation (GGA-PBE).

Cell: 5.2077 5.2077 5.2077 Å, 60.00 60.00 60.00°
Atoms (fractional coordinates):
Zn 0.7500 0.7500 0.7500
Al 0.5000 0.5000 0.5000
Br 0.0000 0.0000 0.0000
Br 0.2500 0.2500 0.2500

Results
The magnetic moment comes out at 0.0 μB per formula unit. For the polymorph energy (0 for the lowest one), the calculation gives 674 meV per atom. As for the uncorrected formation energy: 20.6 kJ/mol of atoms.

Entry 4:
Entry from Alexandria: AlZnBr2 after structural relaxation (GGA-PBE).

Cell: 3.3701 3.3701 8.9777 Å, 90.00 90.00 90.00°
Atoms (fractional coordinates):
Zn 0.0000 0.0000 0.5085
Al 0.5000 0.5000 0.7306
Br 0.0000 0.0000 0.9163
Br 0.5000 0.5000 0.3445

Results
The magnetic moment comes out at 0.0 μB per formula unit. For the polymorph energy (0 for the lowest one), the calculation gives 284 meV per atom. As for the uncorrected formation energy: -17.0 kJ/mol of atoms.

Entry 5:
Entry from Alexandria: AlZnBr2 after structural relaxation (GGA-PBE).

Cell: 3.8806 3.8806 10.3319 Å, 90.00 90.00 125.73°
Atoms (fractional coordinates):
Zn 0.5000 0.5000 0.2500
Al 0.5000 0.5000 0.7500
Br 0.0000 0.0000 0.9317
Br 0.0000 0.0000 0.5683

Results
The magnetic moment comes out at 0.5 μB per formula unit. For the polymorph energy (0 for the lowest one), the calculation gives 385 meV per atom. As for the uncorrected formation energy: -7.2 kJ/mol of atoms.

Entry 6:
Entry from Alexandria: AlZnBr2 after structural relaxation (GGA-PBE).

Cell: 4.1186 6.9252 4.0439 Å, 90.00 90.00 90.00°
Atoms (fractional coordinates):
Zn 0.5000 0.0000 0.5000
Al 0.0000 0.5000 0.5000
Br 0.0000 0.0000 0.0000
Br 0.5000 0.5000 0.0000

Results
The magnetic moment comes out at 0.0 μB per formula unit. For the polymorph energy (0 for the lowest one), the calculation gives 402 meV per atom. As for the uncorrected formation energy: -5.6 kJ/mol of atoms.

Entry 7:
Entry from Alexandria: Zr3AlBr after structural relaxation (GGA-PBE).

Cell: 5.1110 5.1110 5.1110 Å, 90.00 90.00 90.00°
Atoms (fractional coordinates):
Br 0.5000 0.5000 0.5000
Zr 0.0000 0.5000 0.0000
Zr 0.0000 0.0000 0.5000
Zr 0.5000 0.0000 0.0000
Al 0.0000 0.0000 0.0000

Results
The magnetic moment comes out at 0.0 μB per formula unit. As for the uncorrected formation energy: 68.6 kJ/mol of atoms.

Entry 8:
Entry from Alexandria: ZrAl2Br after structural relaxation (GGA-PBE).

Cell: 5.8653 5.8653 5.8653 Å, 148.67 125.47 64.25°
Atoms (fractional coordinates):
Br 0.5194 0.5194 0.0000
Zr 0.7456 0.2456 0.5000
Al 0.9979 0.9979 0.0000
Al 0.2371 0.7371 0.5000

Results
The magnetic moment comes out at 0.0 μB per formula unit. For the polymorph energy (0 for the lowest one), the calculation gives 184 meV per atom. As for the uncorrected formation energy: -8.5 kJ/mol of atoms.

Entry 9:
Entry from Alexandria: ZrAl2Br after structural relaxation (GGA-PBE).

Cell: 3.2328 3.2325 8.0449 Å, 90.00 90.00 90.02°
Atoms (fractional coordinates):
Br 0.5000 0.5000 0.2500
Zr 0.5000 0.5000 0.7500
Al 0.0000 0.0000 0.9798
Al 0.0000 0.0000 0.5202

Results
The magnetic moment comes out at 0.0 μB per formula unit. For the polymorph energy (0 for the lowest one), the calculation gives 191 meV per atom. As for the uncorrected formation energy: -7.8 kJ/mol of atoms.

Entry 10:
Entry from Alexandria: ZrAl2Br after structural relaxation (GGA-PBE).

Cell: 5.8938 5.8938 5.8938 Å, 147.21 133.42 58.13°
Atoms (fractional coordinates):
Br 0.2500 0.7500 0.5000
Zr 0.7500 0.2500 0.5000
Al 0.9896 0.9896 0.0000
Al 0.5104 0.5104 0.0000

Results
The magnetic moment comes out at 0.0 μB per formula unit. For the polymorph energy (0 for the lowest one), the calculation gives 205 meV per atom. As for the uncorrected formation energy: -6.4 kJ/mol of atoms.

Entry 11:
Entry from Alexandria: ZrAl2Br after structural relaxation (GGA-PBE).

Cell: 3.2031 3.2031 8.8665 Å, 90.00 90.00 90.00°
Atoms (fractional coordinates):
Br 0.0000 0.0000 0.5665
Zr 0.5000 0.5000 0.7711
Al 0.0000 0.0000 0.9850
Al 0.5000 0.5000 0.1774

Results
The magnetic moment comes out at 0.0 μB per formula unit. For the polymorph energy (0 for the lowest one), the calculation gives 0 meV per atom. As for the uncorrected formation energy: -26.2 kJ/mol of atoms.

Entry 12:
Entry from Alexandria: ZrAlBr after structural relaxation (GGA-PBE).

Cell: 3.3881 3.3881 6.9440 Å, 90.00 90.00 120.00°
Atoms (fractional coordinates):
Br 0.6667 0.3333 0.3796
Zr 0.3333 0.6667 0.6615
Al 0.0000 0.0000 0.9589

Results
The magnetic moment comes out at 0.0 μB per formula unit. As for the uncorrected formation energy: -42.0 kJ/mol of atoms.

> Look up the uncorrected formation energy of the ninth one.

-7.8 kJ/mol of atoms